[1]
VASP calculation (PBE) on an optimized crystal structure of ScCuSi2Ni.

- symmetry = I-4m2 (119)
- total moment (μB per cell) = 0.00
- final energy (eV per cell) = -29.686

Cell lengths 5.6036, 5.6036, 5.6036 Å; angles 140.28, 140.28, 57.42 degrees
Closest atoms and distances in Å follow each position.
Sites, in units of the cell vectors:
Sc 0.0000 0.0000 0.0000  8 Si 2.93, 4 Ni 3.11, 4 Cu 3.11
Cu 0.2500 0.7500 0.5000  4 Si 2.31
Si 0.3833 0.3833 0.0000  1 Si 2.29, 2 Ni 2.31, 2 Cu 2.31
Si 0.6167 0.6167 0.0000  1 Si 2.29, 2 Ni 2.31, 2 Cu 2.31
Ni 0.7500 0.2500 0.5000  4 Si 2.31

---

[2]
VASP calculation (PBE) on an optimized crystal structure of ScCu4NiSn2.

- symmetry = P4/mmm (123)
- total moment (μB per cell) = 0.01
- final energy (eV per cell) = -35.727

Cell lengths 4.4434, 4.4434, 6.2204 Å; angles 90.00, 90.00, 90.00 degrees
Closest atoms and distances in Å follow each position.
Sites, in units of the cell vectors:
Sc 0.0000 0.0000 0.0000  8 Cu 2.79, 2 Sn 3.11
Cu 0.0000 0.5000 0.2703  2 Ni 2.64, 4 Sn 2.64-2.79, 2 Sc 2.79, 1 Cu 2.86
Cu 0.0000 0.5000 0.7297  4 Sn 2.64-2.79, 2 Ni 2.64, 2 Sc 2.79, 1 Cu 2.86
Cu 0.5000 0.0000 0.2703  2 Ni 2.64, 4 Sn 2.64-2.79, 2 Sc 2.79, 1 Cu 2.86
Cu 0.5000 0.0000 0.7297  4 Sn 2.64-2.79, 2 Ni 2.64, 2 Sc 2.79, 1 Cu 2.86
Ni 0.5000 0.5000 0.5000  8 Cu 2.64
Sn 0.0000 0.0000 0.5000  8 Cu 2.64
Sn 0.5000 0.5000 0.0000  8 Cu 2.79, 2 Ni 3.11

---

[3]
VASP calculation (PBE) on an optimized crystal structure of ScTlCuNi.

- symmetry = F-43m (216)
- total moment (μB per cell) = 0.00
- polymorph energy (0 for the lowest one) (eV/f.u.) = 0.635

Cell lengths 4.5581, 4.5581, 4.5581 Å; angles 60.00, 60.00, 60.00 degrees
Closest atoms and distances in Å follow each position.
Sites, in units of the cell vectors:
Sc 0.0000 0.0000 0.0000  4 Ni 2.79, 4 Tl 2.79
Tl 0.2500 0.2500 0.2500  4 Cu 2.79, 4 Sc 2.79
Cu 0.5000 0.5000 0.5000  4 Tl 2.79, 4 Ni 2.79
Ni 0.7500 0.7500 0.7500  4 Cu 2.79, 4 Sc 2.79

---

[4]
VASP calculation (PBE) on an optimized crystal structure of ScTlCuNi.

- symmetry = F-43m (216)
- total moment (μB per cell) = 0.00
- polymorph energy (0 for the lowest one) (eV/f.u.) = 0.533

Cell lengths 4.5466, 4.5466, 4.5466 Å; angles 60.00, 60.00, 60.00 degrees
Closest atoms and distances in Å follow each position.
Sites, in units of the cell vectors:
Sc 0.0000 0.0000 0.0000  4 Cu 2.78, 4 Tl 2.78
Tl 0.2500 0.2500 0.2500  4 Ni 2.78, 4 Sc 2.78
Cu 0.7500 0.7500 0.7500  4 Ni 2.78, 4 Sc 2.78
Ni 0.5000 0.5000 0.5000  4 Tl 2.78, 4 Cu 2.78

---

[5]
VASP calculation (PBE) on an optimized crystal structure of ScTlCuNi.

- symmetry = F-43m (216)
- total moment (μB per cell) = 0.00
- polymorph energy (0 for the lowest one) (eV/f.u.) = 0.000

Cell lengths 4.5207, 4.5207, 4.5207 Å; angles 60.00, 60.00, 60.00 degrees
Closest atoms and distances in Å follow each position.
Sites, in units of the cell vectors:
Sc 0.0000 0.0000 0.0000  4 Ni 2.77, 4 Cu 2.77
Tl 0.5000 0.5000 0.5000  4 Ni 2.77, 4 Cu 2.77
Cu 0.7500 0.7500 0.7500  4 Tl 2.77, 4 Sc 2.77
Ni 0.2500 0.2500 0.2500  4 Tl 2.77, 4 Sc 2.77

---

[6]
VASP calculation (PBE) on an optimized crystal structure of ScZnCuNi.

- symmetry = F-43m (216)
- total moment (μB per cell) = 0.00
- ΔH_f (0 K) (eV/atom) = -0.227
- polymorph energy (0 for the lowest one) (eV/f.u.) = 0.417

Cell lengths 4.3245, 4.3245, 4.3245 Å; angles 60.00, 60.00, 60.00 degrees
Closest atoms and distances in Å follow each position.
Sites, in units of the cell vectors:
Sc 0.0000 0.0000 0.0000  4 Zn 2.65, 4 Cu 2.65
Zn 0.7500 0.7500 0.7500  4 Ni 2.65, 4 Sc 2.65
Cu 0.2500 0.2500 0.2500  4 Ni 2.65, 4 Sc 2.65
Ni 0.5000 0.5000 0.5000  4 Zn 2.65, 4 Cu 2.65

---

[7]
VASP calculation (PBE) on an optimized crystal structure of ScZnCuNi.

- symmetry = F-43m (216)
- total moment (μB per cell) = 0.01
- ΔH_f (0 K) (eV/atom) = -0.238
- polymorph energy (0 for the lowest one) (eV/f.u.) = 0.371

Cell lengths 4.3202, 4.3202, 4.3202 Å; angles 60.00, 60.00, 60.00 degrees
Closest atoms and distances in Å follow each position.
Sites, in units of the cell vectors:
Sc 0.0000 0.0000 0.0000  4 Ni 2.65, 4 Zn 2.65
Zn 0.2500 0.2500 0.2500  4 Cu 2.65, 4 Sc 2.65
Cu 0.5000 0.5000 0.5000  4 Ni 2.65, 4 Zn 2.65
Ni 0.7500 0.7500 0.7500  4 Sc 2.65, 4 Cu 2.65

---

[8]
VASP calculation (PBE) on an optimized crystal structure of Sc3Zn3CuNi2.

- symmetry = P-62m (189)
- total moment (μB per cell) = 0.00
- ΔH_f (0 K) (eV/atom) = -0.427

Cell lengths 6.8353, 6.8353, 3.5198 Å; angles 90.00, 90.00, 120.00 degrees
Closest atoms and distances in Å follow each position.
Sites, in units of the cell vectors:
Sc 0.0000 0.4123 0.0000  4 Ni 2.71, 1 Cu 2.82, 6 Zn 2.86-3.03
Sc 0.4123 0.0000 0.0000  4 Ni 2.71, 1 Cu 2.82, 6 Zn 2.86-3.03
Sc 0.5877 0.5877 0.0000  4 Ni 2.71, 1 Cu 2.82, 6 Zn 2.86-3.03
Zn 0.0000 0.7419 0.5000  2 Cu 2.49, 2 Ni 2.57
Zn 0.2581 0.2581 0.5000  2 Cu 2.49, 2 Ni 2.57
Zn 0.7419 0.0000 0.5000  2 Cu 2.49, 2 Ni 2.57
Cu 0.0000 0.0000 0.0000  6 Zn 2.49
Ni 0.3333 0.6667 0.5000  3 Zn 2.57, 6 Sc 2.71
Ni 0.6667 0.3333 0.5000  3 Zn 2.57, 6 Sc 2.71

---

[9]
VASP calculation (PBE) on an optimized crystal structure of ScZnCuNi.

- symmetry = F-43m (216)
- total moment (μB per cell) = 0.00
- ΔH_f (0 K) (eV/atom) = -0.331
- polymorph energy (0 for the lowest one) (eV/f.u.) = 0.000

Cell lengths 4.3061, 4.3061, 4.3061 Å; angles 60.00, 60.00, 60.00 degrees
Closest atoms and distances in Å follow each position.
Sites, in units of the cell vectors:
Sc 0.0000 0.0000 0.0000  4 Ni 2.64, 4 Cu 2.64
Zn 0.5000 0.5000 0.5000  4 Ni 2.64, 4 Cu 2.64
Cu 0.2500 0.2500 0.2500  4 Zn 2.64, 4 Sc 2.64
Ni 0.7500 0.7500 0.7500  4 Zn 2.64, 4 Sc 2.64

---

[10]
VASP calculation (PBE) on an optimized crystal structure of CuNi3Se5.

- symmetry = P6/mmm (191)
- total moment (μB per cell) = 0.00
- final energy (eV per cell) = -36.798

Cell lengths 5.2761, 5.2761, 6.8150 Å; angles 90.00, 90.00, 120.00 degrees
Closest atoms and distances in Å follow each position.
Sites, in units of the cell vectors:
Cu 0.0000 0.0000 0.0000  14 Se 3.41-3.42
Ni 0.0000 0.5000 0.5000  6 Se 2.40-2.64, 4 Ni 2.64
Ni 0.5000 0.0000 0.5000  6 Se 2.40-2.64, 4 Ni 2.64
Ni 0.5000 0.5000 0.5000  6 Se 2.40-2.64, 4 Ni 2.64
Se 0.0000 0.0000 0.5000  6 Ni 2.64
Se 0.3333 0.6667 0.2288  3 Ni 2.40
Se 0.3333 0.6667 0.7712  3 Ni 2.40
Se 0.6667 0.3333 0.2288  3 Ni 2.40
Se 0.6667 0.3333 0.7712  3 Ni 2.40

---

[11]
VASP calculation (PBE) on an optimized crystal structure of Cu2NiSe3.

- symmetry = P2_1/m (11)
- total moment (μB per cell) = 0.00
- polymorph energy (0 for the lowest one) (eV/f.u.) = 0.160

Cell lengths 6.8501, 3.6144, 9.3368 Å; angles 90.00, 102.89, 90.00 degrees
Closest atoms and distances in Å follow each position.
Sites, in units of the cell vectors:
Cu 0.1023 0.2500 0.0879  4 Se 2.41-2.45, 2 Cu 2.63
Cu 0.2895 0.7500 0.2871  5 Se 2.47-2.73, 3 Ni 2.67-2.69, 2 Cu 2.70
Cu 0.7105 0.2500 0.7129  5 Se 2.47-2.73, 3 Ni 2.67-2.69, 2 Cu 2.70
Cu 0.8977 0.7500 0.9121  4 Se 2.41-2.45, 2 Cu 2.63
Ni 0.4469 0.7500 0.5776  4 Se 2.32-2.43, 2 Ni 2.52
Ni 0.5531 0.2500 0.4224  4 Se 2.32-2.43, 2 Ni 2.52
Se 0.0748 0.2500 0.8213  4 Cu 2.43-2.47
Se 0.2331 0.2500 0.4939  3 Ni 2.35-2.43
Se 0.4618 0.2500 0.1676  1 Ni 2.32, 3 Cu 2.41-2.55
Se 0.5382 0.7500 0.8324  1 Ni 2.32, 3 Cu 2.41-2.55
Se 0.7669 0.7500 0.5061  3 Ni 2.35-2.43
Se 0.9252 0.7500 0.1787  4 Cu 2.43-2.47

---

[12]
VASP calculation (PBE) on an optimized crystal structure of Cu2NiSe3.

- symmetry = C2/m (12)
- total moment (μB per cell) = 10.00
- polymorph energy (0 for the lowest one) (eV/f.u.) = 0.000

Cell lengths 9.3434, 9.3434, 6.3900 Å; angles 93.58, 93.58, 23.07 degrees
Closest atoms and distances in Å follow each position.
Sites, in units of the cell vectors:
Cu 0.0373 0.0373 0.1710  4 Se 2.37-2.46, 1 Cu 2.50
Cu 0.2896 0.2896 0.5724  4 Se 2.36-2.48, 2 Cu 2.51, 1 Ni 2.62
Cu 0.7104 0.7104 0.4276  4 Se 2.36-2.48, 2 Cu 2.51, 1 Ni 2.62
Cu 0.9627 0.9627 0.8290  4 Se 2.37-2.46, 1 Cu 2.50
Ni 0.3460 0.3460 0.9591  6 Se 2.44-2.67, 1 Cu 2.62
Ni 0.6540 0.6540 0.0409  6 Se 2.44-2.67, 1 Cu 2.62
Se 0.0971 0.0971 0.8458  2 Cu 2.41-2.46, 2 Ni 2.44
Se 0.2456 0.2456 0.2005  3 Cu 2.46-2.48, 3 Ni 2.47-2.67
Se 0.4180 0.4180 0.6320  3 Cu 2.36-2.37, 1 Ni 2.54
Se 0.5820 0.5820 0.3680  3 Cu 2.36-2.37, 1 Ni 2.54
Se 0.7544 0.7544 0.7995  3 Cu 2.46-2.48, 3 Ni 2.47-2.67
Se 0.9029 0.9029 0.1542  2 Cu 2.41-2.46, 2 Ni 2.44